{"formula": "KTaO2", "functional": "GGA-PBE", "state": "optimized geometry", "lattice_angstrom": [[2.779, 0.000, 0.000], [0.000, 2.779, 0.000], [0.000, 0.000, 6.399]], "species": ["O", "O", "K", "Ta"], "fractional_positions": [[0.000, 0.000, 0.811], [0.000, 0.000, 0.189], [0.500, 0.500, 0.500], [0.500, 0.500, 0.000]], "m_tot_mub_per_atom": 0.000, "total_energy_ev_per_atom": -7.2680}